# 1
Computed, not measured: TbMgGa2Pd4 after structural relaxation at the PBE-GGA level of DFT.

Values from the calculation:
As for the crystal system: tetragonal. As for the space group: P4/mmm, No. 123. The value obtained for the total DFT energy (no corrections) is -38.9 eV/cell.

Lattice parameters (Å, degrees): 4.581 4.581 6.451 90.00 90.00 90.00
Atoms (fractional coordinates):
Ga (0.000, 0.000, 0.500)
Tb (0.500, 0.500, 0.500)
Mg (0.000, 0.000, 0.000)
Pd (0.000, 0.500, 0.770)
Ga (0.500, 0.500, 0.000)
Pd (0.500, 0.000, 0.230)
Pd (0.000, 0.500, 0.230)
Pd (0.500, 0.000, 0.770)

# 2
Computed, not measured: SnPt15 after structural relaxation at the PBE-GGA level of DFT.

Values from the calculation:
As for the crystal system: monoclinic. As for the space group: P2/c, No. 13. For the polymorph energy (0 for the lowest one), the calculation gives 0.0250 eV/atom.

Lattice parameters (Å, degrees): 4.829 36.346 4.829 90.00 109.79 90.00
Atoms (fractional coordinates):
Pt (0.000, 0.481, 0.500)
Pt (0.000, 0.636, 0.500)
Pt (0.500, 0.481, 0.000)
Pt (0.500, 0.756, 0.500)
Pt (0.000, 0.714, 0.500)
Pt (0.500, 0.209, 0.500)
Pt (0.000, 0.756, 0.000)
Pt (0.500, 0.714, 0.000)
Pt (0.000, 0.403, 0.500)
Pt (0.500, 0.519, 0.500)
Pt (0.500, 0.364, 0.500)
Pt (0.500, 0.286, 0.500)
Sn (0.000, 0.797, 0.500)
Pt (0.000, 0.597, 0.000)
Pt (0.500, 0.324, 0.000)
Pt (0.000, 0.519, 0.000)
Pt (0.000, 0.364, 0.000)
Pt (0.000, 0.244, 0.500)
Pt (0.500, 0.558, 0.000)
Pt (0.000, 0.325, 0.500)
Pt (0.500, 0.676, 0.500)
Pt (0.500, 0.244, 0.000)
Pt (0.000, 0.558, 0.500)
Pt (0.500, 0.636, 0.000)
Pt (0.000, 0.286, 0.000)
Sn (0.000, 0.202, 0.000)
Pt (0.500, 0.791, 0.000)
Pt (0.500, 0.597, 0.500)
Pt (0.500, 0.442, 0.500)
Pt (0.500, 0.403, 0.000)
Pt (0.000, 0.675, 0.000)
Pt (0.000, 0.442, 0.000)

# 3
Computed, not measured: Sc4CdCuC2 after structural relaxation at the PBE-GGA level of DFT.

Values from the calculation:
As for the crystal system: hexagonal. As for the space group: P-6m2, No. 187. The value obtained for the total DFT energy (no corrections) is -51.3 eV/cell.

Lattice parameters (Å, degrees): 3.340 3.340 14.239 90.00 90.00 120.00
Atoms (fractional coordinates):
Cu (0.333, 0.667, 0.500)
C (0.667, 0.333, 0.730)
Sc (0.000, 0.000, 0.356)
Cd (0.000, 0.000, 0.000)
Sc (0.333, 0.667, 0.816)
Sc (0.333, 0.667, 0.184)
Sc (0.000, 0.000, 0.644)
C (0.667, 0.333, 0.270)

# 4
Computed, not measured: NbBiAsO after structural relaxation at the PBE-GGA level of DFT.

Values from the calculation:
As for the crystal system: orthorhombic. As for the space group: Pmc2_1, No. 26. For the polymorph energy (0 for the lowest one), the calculation gives 0.1538 eV/atom.

Lattice parameters (Å, degrees): 3.513 7.858 6.481 90.00 90.00 90.00
Atoms (fractional coordinates):
Nb (0.000, 0.289, 0.033)
O (0.500, 0.740, 0.405)
Bi (0.500, 0.115, 0.407)
O (0.500, 0.260, 0.905)
Bi (0.500, 0.885, 0.907)
As (0.000, 0.602, 0.909)
As (0.000, 0.398, 0.409)
Nb (0.000, 0.711, 0.533)